The following is a PBE+U calculation of an optimized crystal structure of MnCoBrF, from Alexandria.

Cell: 5.7916 3.3763 8.8822 Å, 90.00 105.01 90.00°
Element x y z (fractional)
1 Mn 0.0000 0.0000 0.0000
2 Mn 0.5000 0.5000 0.0000
3 Co 0.2686 0.0000 0.7360
4 Co 0.7686 0.5000 0.7360
5 Br 0.0278 0.5000 0.5511
6 Br 0.5278 0.0000 0.5511
7 F 0.3788 0.0000 0.1175
8 F 0.8788 0.5000 0.1175

Relative energy among the computed polymorphs in eV per formula unit: 0.089
Space group: Cm